Tl8SbAu2 | Alexandria via LeMat-Bulk | GGA-PBE | relaxed; E above lowest polymorph = 0.003 eV/atom; VASP energy = -2.698 eV per atom; formation energy (no corrections) = -0.006 eV/atom
1.0
-5.201 1.693 -0.771
-0.663 -7.820 -2.304
0.551 0.659 8.134
Tl Sb Au
8 1 2
Cartesian
-4.968 -5.240 2.681
-4.669 -3.150 5.254
-1.753 -3.904 3.375
-2.976 -4.967 -0.219
-2.337 -0.501 5.278
-3.560 -1.564 1.684
-0.644 -2.318 -0.194
-0.345 -0.229 2.378
-2.600 0.847 -0.385
0.168 -2.017 4.840
-0.280 -5.144 0.990


Fe2AgW | Alexandria via LeMat-Bulk | GGA-PBE | relaxed; formation energy from the elements = 352 meV per atom; E above lowest polymorph = 0.053 eV/atom; VASP energy = -7.830 eV per atom
1.0
-1.575 0.619 2.269
-0.810 -2.707 0.176
5.546 -1.384 4.227
Ag Fe W
1 2 1
Cartesian
3.070 -2.107 4.472
0.211 -0.053 0.161
0.095 -1.365 2.204
2.557 -0.638 1.949


Tl2Cd2F7 | Alexandria via LeMat-Bulk | GGA-PBE | relaxed; VASP energy = -3.715 eV per atom; formation energy (no corrections) = -1.927 eV/atom
1.0
6.869 0.036 0.041
-0.451 5.869 -0.485
-0.451 -1.261 5.752
Tl Cd F
2 2 7
Cartesian
2.607 1.372 1.568
3.360 3.271 3.740
-0.451 0.950 3.818
-0.451 3.658 1.449
4.961 4.889 2.905
1.005 2.414 0.076
1.005 -0.246 2.403
4.961 2.229 5.232
3.434 0.018 0.020
0.780 2.722 3.111
5.186 1.922 2.197